Compound: La2Cd5Ag
Source: the Alexandria database
Functional: PBE
Structure: relaxed

Density of states at the Fermi level, states/eV per cell: 11.534
Total moment, Bohr magnetons per cell: 0.00
V, Å³ per atom: 26.507
VASP energy, eV per atom: -2.43
Energy of formation from the pure elements, eV per atom: -0.2658

a b c (Å): 4.7333 9.2357 10.0369
angles (deg): 90.00 90.00 104.85
Fractional positions:
Cd 0.1926 0.3852 0.8950
Cd 0.6036 0.2073 0.7500
Cd 0.8074 0.6148 0.1050
Cd 0.3562 0.7124 0.9711
Cd 0.1926 0.3852 0.6050
Cd 0.3964 0.7927 0.2500
Cd 0.6438 0.2876 0.0289
Cd 0.3562 0.7124 0.5289
Cd 0.6438 0.2876 0.4711
Cd 0.8074 0.6148 0.3950
Ag 0.4502 0.9004 0.7500
Ag 0.5498 0.0996 0.2500
La 0.0000 0.0000 0.0000
La 0.1928 0.3856 0.2500
La 0.0000 0.0000 0.5000
La 0.8072 0.6144 0.7500

Compound: La6Cd5Ag
Source: the Alexandria database
Functional: PBE
Structure: relaxed

Density of states at the Fermi level, states/eV per cell: 15.216
Total moment, Bohr magnetons per cell: 1.33
V, Å³ per atom: 30.068
VASP energy, eV per atom: -3.40
Energy of formation from the pure elements, eV per atom: -0.3150

a b c (Å): 5.5260 7.8696 9.5915
angles (deg): 65.78 73.21 90.00
Last column: magnetic moment on the atom in μB.
Fractional positions:
La 0.1632 0.4095 0.6729  0.09
La 0.5000 0.7566 0.0000  0.10
La 0.5000 0.2434 0.0000  0.10
La 0.8368 0.0823 0.3271  0.09
La 0.8368 0.5905 0.3271  0.09
La 0.1632 0.9177 0.6729  0.09
Cd 0.3274 0.8270 0.3460  0.00
Cd 0.6665 0.6673 0.6653  0.00
Cd 0.0000 0.5000 0.0000  0.01
Cd 0.6726 0.1730 0.6540  0.00
Cd 0.3335 0.3327 0.3347  0.00
Ag 0.0000 0.0000 0.0000  0.01

Compound: LaCd3Ag8
Source: the Alexandria database
Functional: PBE
Structure: relaxed

Density of states at the Fermi level, states/eV per cell: 5.245
Total moment, Bohr magnetons per cell: 0.00
V, Å³ per atom: 20.918
VASP energy, eV per atom: -2.62
Energy of formation from the pure elements, eV per atom: -0.0790

a b c (Å): 5.5966 5.5966 9.8019
angles (deg): 73.41 73.41 60.00
Fractional positions:
Cd 0.0038 0.0038 0.9886
Cd 0.3747 0.3747 0.8759
Cd 0.4908 0.4908 0.5276
Ag 0.9414 0.4395 0.1796
Ag 0.6884 0.6884 0.9349
Ag 0.4346 0.9373 0.6907
Ag 0.4395 0.4395 0.1796
Ag 0.9373 0.9373 0.6907
Ag 0.9373 0.4346 0.6907
Ag 0.4395 0.9414 0.1796
Ag 0.1878 0.1878 0.4367
La 0.8749 0.8749 0.3752

Compound: LaCd2Ag3
Source: the Alexandria database
Functional: PBE
Structure: relaxed

Density of states at the Fermi level, states/eV per cell: 6.485
Total moment, Bohr magnetons per cell: 0.00
V, Å³ per atom: 22.827
VASP energy, eV per atom: -2.76
Energy of formation from the pure elements, eV per atom: -0.2070

a b c (Å): 4.8882 4.8882 13.2372
angles (deg): 90.00 90.00 120.00
Fractional positions:
Cd 0.3333 0.6667 0.9134
Cd 0.6667 0.3333 0.0866
Cd 0.6667 0.3333 0.4134
Cd 0.3333 0.6667 0.5866
Ag 0.6667 0.3333 0.8663
Ag 0.3333 0.6667 0.3663
Ag 0.0000 0.0000 0.0000
Ag 0.0000 0.0000 0.5000
Ag 0.6667 0.3333 0.6337
Ag 0.3333 0.6667 0.1337
La 0.0000 0.0000 0.7500
La 0.0000 0.0000 0.2500

Compound: LaCd4Ag2
Source: the Alexandria database
Functional: PBE
Structure: relaxed

Density of states at the Fermi level, states/eV per cell: 2.525
Total moment, Bohr magnetons per cell: 0.00
V, Å³ per atom: 22.586
VASP energy, eV per atom: -2.25
Energy of formation from the pure elements, eV per atom: -0.2111

a b c (Å): 5.6537 5.9795 5.9797
angles (deg): 77.67 62.17 62.17
Fractional positions:
Cd 0.3050 0.3889 0.0006
Cd 0.3049 0.0006 0.3889
Cd 0.6950 0.6111 0.9994
Cd 0.6951 0.9994 0.6111
Ag 0.7508 0.4989 0.4989
Ag 0.2492 0.5011 0.5011
La 0.0000 0.0000 0.0000

Compound: LaCd9Ag2
Source: the Alexandria database
Functional: PBE
Structure: relaxed

Density of states at the Fermi level, states/eV per cell: 6.275
Total moment, Bohr magnetons per cell: 0.00
V, Å³ per atom: 22.476
VASP energy, eV per atom: -1.75
Energy of formation from the pure elements, eV per atom: -0.1751

a b c (Å): 7.6053 9.2406 9.2406
angles (deg): 80.25 65.70 65.70
Fractional positions:
Cd 0.7473 0.8218 0.5808
Cd 0.6000 0.0808 0.3218
Cd 0.6718 0.1782 0.5808
Cd 0.0000 0.0000 0.0000
Cd 0.0027 0.6782 0.9192
Cd 0.0027 0.9192 0.6782
Cd 0.0782 0.3218 0.9192
Cd 0.4309 0.4192 0.8218
Cd 0.6718 0.5808 0.1782
Cd 0.3191 0.0808 0.6782
Cd 0.3191 0.6782 0.0808
Cd 0.7473 0.5808 0.8218
Cd 0.4309 0.8218 0.4192
Cd 0.6000 0.3218 0.0808
Cd 0.7500 0.5000 0.5000
Cd 0.0782 0.9192 0.3218
Cd 0.1500 0.1782 0.4192
Cd 0.1500 0.4192 0.1782
La 0.2500 0.5000 0.5000
La 0.5000 0.0000 0.0000
Ag 0.8750 0.2500 0.2500
Ag 0.8750 0.7500 0.2500
Ag 0.8750 0.2500 0.7500
Ag 0.3750 0.7500 0.7500